1.
# TmFeSnRu

A geometry-optimized TmFeSnRu structure (GGA-PBE, the Alexandria database).

The structure in CIF format:
```
data_TmFeSnRu
_chemical_formula_sum 'Tm1 Fe1 Sn1 Ru1'
_symmetry_space_group_name_H-M 'P 1'
_symmetry_Int_Tables_number 1
_cell_length_a 4.585
_cell_length_b 4.585
_cell_length_c 4.585
_cell_angle_alpha 60.00
_cell_angle_beta 60.00
_cell_angle_gamma 60.00
loop_
_symmetry_equiv_pos_as_xyz
'x,y,z'
loop_
_atom_site_label
_atom_site_type_symbol
_atom_site_fract_x
_atom_site_fract_y
_atom_site_fract_z
_atom_site_occupancy
Ru1 Ru 0.250 0.250 0.250 1
Tm1 Tm 0.000 0.000 0.000 1
Sn1 Sn 0.500 0.500 0.500 1
Fe1 Fe 0.750 0.750 0.750 1
```

Values from the calculation:
- E_form (eV per atom) = -0.2023
- symmetry = F-43m
- crystal system = cubic


2.
# BeTlRu2

A geometry-optimized BeTlRu2 structure (GGA-PBE, the Alexandria database).

The structure in CIF format:
```
data_BeTlRu2
_chemical_formula_sum 'Be1 Tl1 Ru2'
_symmetry_space_group_name_H-M 'P 1'
_symmetry_Int_Tables_number 1
_cell_length_a 4.389
_cell_length_b 4.389
_cell_length_c 4.389
_cell_angle_alpha 60.00
_cell_angle_beta 60.00
_cell_angle_gamma 60.00
loop_
_symmetry_equiv_pos_as_xyz
'x,y,z'
loop_
_atom_site_label
_atom_site_type_symbol
_atom_site_fract_x
_atom_site_fract_y
_atom_site_fract_z
_atom_site_occupancy
Ru1 Ru 0.250 0.250 0.250 1
Ru2 Ru 0.750 0.750 0.750 1
Tl1 Tl 0.500 0.500 0.500 1
Be1 Be 0.000 0.000 0.000 1
```

Values from the calculation:
- E_form (eV per atom) = 0.5168
- symmetry = Fm-3m
- excess energy over the best structure of this formula in the dataset (meV per atom) = 243
- crystal system = cubic


3.
# Ba6ZnAu2I3

A geometry-optimized Ba6ZnAu2I3 structure (GGA-PBE, the Alexandria database).

The structure in CIF format:
```
data_Ba6ZnAu2I3
_chemical_formula_sum 'Ba6 Zn1 Au2 I3'
_symmetry_space_group_name_H-M 'P 1'
_symmetry_Int_Tables_number 1
_cell_length_a 8.257
_cell_length_b 8.257
_cell_length_c 9.308
_cell_angle_alpha 98.50
_cell_angle_beta 98.50
_cell_angle_gamma 120.02
loop_
_symmetry_equiv_pos_as_xyz
'x,y,z'
loop_
_atom_site_label
_atom_site_type_symbol
_atom_site_fract_x
_atom_site_fract_y
_atom_site_fract_z
_atom_site_occupancy
Ba1 Ba 0.930 0.591 0.789 1
Ba2 Ba 0.732 0.732 0.211 1
Ba3 Ba 0.070 0.409 0.211 1
Ba4 Ba 0.591 0.930 0.789 1
Ba5 Ba 0.268 0.268 0.789 1
Ba6 Ba 0.409 0.070 0.211 1
Zn1 Zn 0.000 0.000 0.000 1
Au1 Au 0.333 0.667 0.000 1
Au2 Au 0.667 0.333 0.000 1
I1 I 0.166 0.834 0.500 1
I2 I 0.834 0.166 0.500 1
I3 I 0.500 0.500 0.500 1
```

Values from the calculation:
- formation energy without anion corrections (eV/atom) = -0.951
- symmetry = C2/m
- crystal system = monoclinic


4.
# YAg3Au

A geometry-optimized YAg3Au structure (GGA-PBE, the Alexandria database).

The structure in CIF format:
```
data_YAg3Au
_chemical_formula_sum 'Y1 Ag3 Au1'
_symmetry_space_group_name_H-M 'P 1'
_symmetry_Int_Tables_number 1
_cell_length_a 5.099
_cell_length_b 5.099
_cell_length_c 5.099
_cell_angle_alpha 90.00
_cell_angle_beta 90.00
_cell_angle_gamma 90.00
loop_
_symmetry_equiv_pos_as_xyz
'x,y,z'
loop_
_atom_site_label
_atom_site_type_symbol
_atom_site_fract_x
_atom_site_fract_y
_atom_site_fract_z
_atom_site_occupancy
Y1 Y 0.500 0.500 0.500 1
Au1 Au 0.000 0.000 0.000 1
Ag1 Ag 0.000 0.500 0.000 1
Ag2 Ag 0.000 0.000 0.500 1
Ag3 Ag 0.500 0.000 0.000 1
```

Values from the calculation:
- E_form (eV per atom) = 0.3469
- symmetry = Pm-3m
- excess energy over the best structure of this formula in the dataset (meV per atom) = 0
- crystal system = cubic


5.
# Sc2BeP

A geometry-optimized Sc2BeP structure (GGA-PBE, the Alexandria database).

The structure in CIF format:
```
data_Sc2BeP
_chemical_formula_sum 'Sc2 Be1 P1'
_symmetry_space_group_name_H-M 'P 1'
_symmetry_Int_Tables_number 1
_cell_length_a 4.514
_cell_length_b 4.514
_cell_length_c 4.514
_cell_angle_alpha 60.00
_cell_angle_beta 60.00
_cell_angle_gamma 60.00
loop_
_symmetry_equiv_pos_as_xyz
'x,y,z'
loop_
_atom_site_label
_atom_site_type_symbol
_atom_site_fract_x
_atom_site_fract_y
_atom_site_fract_z
_atom_site_occupancy
Sc1 Sc 0.250 0.250 0.250 1
Sc2 Sc 0.750 0.750 0.750 1
P1 P 0.500 0.500 0.500 1
Be1 Be 0.000 0.000 0.000 1
```

Values from the calculation:
- E_form (eV per atom) = -0.3975
- symmetry = Fm-3m
- excess energy over the best structure of this formula in the dataset (meV per atom) = 450
- crystal system = cubic


6.
# In2Ag3Pd3

A geometry-optimized In2Ag3Pd3 structure (GGA-PBE, the Alexandria database).

The structure in CIF format:
```
data_In2Ag3Pd3
_chemical_formula_sum 'In2 Ag3 Pd3'
_symmetry_space_group_name_H-M 'P 1'
_symmetry_Int_Tables_number 1
_cell_length_a 4.250
_cell_length_b 4.157
_cell_length_c 7.937
_cell_angle_alpha 90.00
_cell_angle_beta 90.00
_cell_angle_gamma 90.00
loop_
_symmetry_equiv_pos_as_xyz
'x,y,z'
loop_
_atom_site_label
_atom_site_type_symbol
_atom_site_fract_x
_atom_site_fract_y
_atom_site_fract_z
_atom_site_occupancy
In1 In 0.000 0.000 0.741 1
In2 In 0.000 0.000 0.259 1
Ag1 Ag 0.500 0.500 0.748 1
Ag2 Ag 0.500 0.500 0.252 1
Ag3 Ag 0.500 0.000 0.000 1
Pd1 Pd 0.500 0.000 0.500 1
Pd2 Pd 0.000 0.500 0.000 1
Pd3 Pd 0.000 0.500 0.500 1
```

Values from the calculation:
- E_form (eV per atom) = -0.2791
- symmetry = Pmmm
- crystal system = orthorhombic


7.
# Ac2TlSn3Rh4

A geometry-optimized Ac2TlSn3Rh4 structure (GGA-PBE, the Alexandria database).

The structure in CIF format:
```
data_Ac2TlSn3Rh4
_chemical_formula_sum 'Ac2 Tl1 Sn3 Rh4'
_symmetry_space_group_name_H-M 'P 1'
_symmetry_Int_Tables_number 1
_cell_length_a 4.643
_cell_length_b 4.643
_cell_length_c 10.797
_cell_angle_alpha 90.00
_cell_angle_beta 90.00
_cell_angle_gamma 90.00
loop_
_symmetry_equiv_pos_as_xyz
'x,y,z'
loop_
_atom_site_label
_atom_site_type_symbol
_atom_site_fract_x
_atom_site_fract_y
_atom_site_fract_z
_atom_site_occupancy
Ac1 Ac 0.500 0.000 0.244 1
Ac2 Ac 0.000 0.500 0.756 1
Tl1 Tl 0.500 0.500 0.500 1
Sn1 Sn 0.000 0.000 0.500 1
Sn2 Sn 0.500 0.000 0.878 1
Sn3 Sn 0.000 0.500 0.122 1
Rh1 Rh 0.500 0.500 0.000 1
Rh2 Rh 0.000 0.000 0.000 1
Rh3 Rh 0.500 0.000 0.636 1
Rh4 Rh 0.000 0.500 0.364 1
```

Values from the calculation:
- E_form (eV per atom) = -0.6333
- symmetry = P-4m2
- crystal system = tetragonal


8.
# P2BrO

A geometry-optimized P2BrO structure (GGA-PBE, the Alexandria database).

The structure in CIF format:
```
data_P2BrO
_chemical_formula_sum 'P2 Br1 O1'
_symmetry_space_group_name_H-M 'P 1'
_symmetry_Int_Tables_number 1
_cell_length_a 4.395
_cell_length_b 4.395
_cell_length_c 4.395
_cell_angle_alpha 60.00
_cell_angle_beta 60.00
_cell_angle_gamma 60.00
loop_
_symmetry_equiv_pos_as_xyz
'x,y,z'
loop_
_atom_site_label
_atom_site_type_symbol
_atom_site_fract_x
_atom_site_fract_y
_atom_site_fract_z
_atom_site_occupancy
P1 P 0.250 0.250 0.250 1
P2 P 0.750 0.750 0.750 1
O1 O 0.000 0.000 0.000 1
Br1 Br 0.500 0.500 0.500 1
```

Values from the calculation:
- formation energy without anion corrections (eV/atom) = 1.128
- symmetry = Fm-3m
- excess energy over the best structure of this formula in the dataset (meV per atom) = 891
- crystal system = cubic


9.
# NaZnAs2

A geometry-optimized NaZnAs2 structure (GGA-PBE, the Alexandria database).

The structure in CIF format:
```
data_NaZnAs2
_chemical_formula_sum 'Na2 Zn2 As4'
_symmetry_space_group_name_H-M 'P 1'
_symmetry_Int_Tables_number 1
_cell_length_a 4.929
_cell_length_b 4.929
_cell_length_c 8.934
_cell_angle_alpha 73.99
_cell_angle_beta 73.99
_cell_angle_gamma 90.00
loop_
_symmetry_equiv_pos_as_xyz
'x,y,z'
loop_
_atom_site_label
_atom_site_type_symbol
_atom_site_fract_x
_atom_site_fract_y
_atom_site_fract_z
_atom_site_occupancy
Na1 Na 0.500 0.500 0.000 1
Na2 Na 0.250 0.750 0.500 1
As1 As 0.746 0.125 0.250 1
As2 As 0.004 0.625 0.250 1
As3 As 0.375 0.254 0.750 1
As4 As 0.875 0.996 0.750 1
Zn1 Zn 0.000 0.000 0.000 1
Zn2 Zn 0.750 0.250 0.500 1
```

Values from the calculation:
- E_form (eV per atom) = -0.0944
- symmetry = I-42d
- crystal system = tetragonal


10.
# Pr2Dy2YHo2

A geometry-optimized Pr2Dy2YHo2 structure (GGA-PBE, the Alexandria database).

The structure in CIF format:
```
data_Pr2Dy2YHo2
_chemical_formula_sum 'Pr2 Dy2 Y1 Ho2'
_symmetry_space_group_name_H-M 'P 1'
_symmetry_Int_Tables_number 1
_cell_length_a 3.680
_cell_length_b 11.366
_cell_length_c 9.873
_cell_angle_alpha 143.84
_cell_angle_beta 90.00
_cell_angle_gamma 99.32
loop_
_symmetry_equiv_pos_as_xyz
'x,y,z'
loop_
_atom_site_label
_atom_site_type_symbol
_atom_site_fract_x
_atom_site_fract_y
_atom_site_fract_z
_atom_site_occupancy
Pr1 Pr 0.728 0.456 0.096 1
Pr2 Pr 0.272 0.544 0.904 1
Dy1 Dy 0.657 0.315 0.433 1
Dy2 Dy 0.343 0.685 0.567 1
Y1 Y 0.000 0.000 0.500 1
Ho1 Ho 0.067 0.133 0.983 1
Ho2 Ho 0.933 0.867 0.017 1
```

Values from the calculation:
- E_form (eV per atom) = 0.1243
- symmetry = C2/m
- crystal system = monoclinic


no.,raw total energy (hartree per atom)
1,-0.2483
2,-0.2074
3,-0.1085
4,-0.1217
5,-0.2149
6,-0.1463
7,-0.2144
8,-0.1189
9,-0.1127
10,-0.1759